Record 1
Below is crystalline Sr4MnBe at its relaxed geometry, with properties calculated at the PBE-GGA level.

extended XYZ file:
```
6
Lattice="-1.8155 3.1791 6.0354 1.3875 6.8581 0.9330 -5.2749 4.6904 0.0707" Properties=species:S:1:pos:R:3 pbc="T T T"
Sr -3.0464 7.1124 5.6576
Sr -4.7762 7.8681 2.6749
Sr -1.4447 8.9521 3.1061
Sr -2.1385 5.5226 2.6396
Mn 0.0000 0.0000 0.0000
Be -4.2772 11.0457 5.2793
```

Calculated values
- Space-group type: F-43m, No. 216
- Total magnetic moment: 3.9 Bohr magnetons per cell
- Energy of formation from the pure elements: 1122 meV/atom

Record 2
Below is crystalline SrCeIn2 at its relaxed geometry, with properties calculated at the PBE-GGA level.

extended XYZ file:
```
4
Lattice="-2.3391 -2.6969 -1.3439 0.4115 -1.2748 -3.5716 5.9197 -8.7050 1.7519" Properties=species:S:1:pos:R:3 pbc="T T T"
Sr 1.9960 -6.3383 -1.5818
Ce 0.0000 0.0000 0.0000
In 0.9521 -3.1175 -0.8146
In 3.0400 -9.5591 -2.3491
```

Calculated values
- Space-group type: R-3m, No. 166
- Total magnetic moment: 1.0 Bohr magnetons per cell
- Energy of formation from the pure elements: -153 meV/atom

Record 3
Below is crystalline Pm3SbAs2Rh9 at its relaxed geometry, with properties calculated at the PBE-GGA level.

extended XYZ file:
```
15
Lattice="-0.7660 2.9364 5.5078 -4.9962 -2.2511 -3.0847 0.9059 -8.1027 4.4457" Properties=species:S:1:pos:R:3 pbc="T T T"
Pm -2.9248 -6.4374 3.0251
Pm 0.0000 0.0000 0.0000
Pm -1.9316 -0.9800 3.8437
Sb 0.4530 -4.0513 2.2229
As -3.4328 -1.8934 0.5320
As -1.4235 -5.5240 6.3369
Rh -0.7137 -3.6881 7.5057
Rh -3.5652 -4.9728 5.7452
Rh -0.2765 -5.3639 4.3622
Rh -4.5799 -2.0535 2.5067
Rh -1.2912 -2.4446 1.1237
Rh -4.1427 -3.7293 -0.6368
Rh -0.3830 1.4682 2.7539
Rh -2.4981 -1.1255 -1.5423
Rh -2.8811 0.3426 1.2116
```

Calculated values
- Space-group type: P-3m1, No. 164
- Total magnetic moment: 0.0 Bohr magnetons per cell
- Uncorrected formation energy: -658.3 kJ/mol of formula units

Record 4
Below is crystalline ZnIn2RuPt at its relaxed geometry, with properties calculated at the PBE-GGA level.

extended XYZ file:
```
5
Lattice="5.0508 0.0000 0.0000 0.0000 4.7251 0.0000 0.0000 0.0000 5.0508" Properties=species:S:1:pos:R:3 pbc="T T T"
Ru 2.5254 2.3626 2.5254
Zn 0.0000 2.3626 0.0000
Pt 0.0000 0.0000 0.0000
In 0.0000 0.0000 2.5254
In 2.5254 0.0000 0.0000
```

Calculated values
- Space-group type: P4/mmm, No. 123
- Total magnetic moment: 2.2 Bohr magnetons per cell
- Energy of formation from the pure elements: 648 meV/atom